A relaxed structure of Ta2GaCo2Bi, computed with GGA-PBE.

abc: 7.2254 7.2254 7.2254
angles: 131.61 131.61 70.85
Sites, in units of the cell vectors:
Ta: 0.2406 0.2406 0.0000
Ta: 0.5094 0.0094 0.5000
Ta: 0.7594 0.7594 0.0000
Ta: 0.9906 0.4906 0.5000
Ga: 0.0000 0.0000 0.0000
Ga: 0.7500 0.2500 0.5000
Co: 0.1145 0.1250 0.4895
Co: 0.3750 0.8855 0.0105
Co: 0.6355 0.6250 0.5105
Co: 0.8750 0.3645 0.9895
Bi: 0.2500 0.7500 0.5000
Bi: 0.5000 0.5000 0.0000

Values from the calculation:
- M_tot: 0.01 Bohr magnetons per cell

***

A relaxed structure of RbCuReTe2Se, computed with GGA-PBE.

abc: 8.4583 8.4583 10.1016
angles: 90.00 90.00 152.94
Sites, in units of the cell vectors:
Rb: 0.2454 0.7546 0.7500
Rb: 0.7546 0.2454 0.2500
Cu: 0.0275 0.9725 0.2500
Cu: 0.9725 0.0275 0.7500
Re: 0.5000 0.5000 0.0000
Re: 0.5000 0.5000 0.5000
Te: 0.1139 0.8861 0.0391
Te: 0.1139 0.8861 0.4609
Te: 0.8861 0.1139 0.5391
Te: 0.8861 0.1139 0.9609
Se: 0.4416 0.5584 0.2500
Se: 0.5584 0.4416 0.7500

Values from the calculation:
- M_tot: 4.28 Bohr magnetons per cell

***

Number 1: final energy -7.638 eV per atom. Number 2: final energy -4.597 eV per atom.